(1)
IrPtCl2 | GGA-PBE | relaxed

The structure in extended XYZ format:
```
12
Lattice="2.796 0.000 0.000 -1.398 2.421 0.000 0.000 0.000 35.516" Properties=species:S:1:pos:R:3 pbc="T T T"
Ir 0.000 0.000 0.000
Ir 0.000 1.614 23.677
Ir 1.398 0.807 11.839
Pt 0.000 0.000 17.758
Pt 0.000 1.614 5.919
Pt 1.398 0.807 29.596
Cl 0.000 0.000 2.236
Cl 0.000 0.000 33.279
Cl 0.000 1.614 21.441
Cl 0.000 1.614 25.914
Cl 1.398 0.807 9.602
Cl 1.398 0.807 14.075
```

Values from the calculation:
**Excess energy over the best structure of this formula in the dataset**: 396 meV/atom
**SG**: R-3m, No. 166
**VASP energy**: -4.24 eV per atom
**Total magnetization**: 0.0 μB per cell
**Energy relative to the elements, uncorrected**: 0.41 eV/atom
**Density**: 9493 kg/m³

(2)
Zr3GaCo | GGA-PBE | relaxed

The structure in extended XYZ format:
```
5
Lattice="4.795 0.000 0.000 0.000 4.795 0.000 0.000 0.000 4.795" Properties=species:S:1:pos:R:3 pbc="T T T"
Zr 0.000 0.000 2.397
Zr 0.000 2.397 0.000
Zr 2.397 0.000 0.000
Ga 2.397 2.397 2.397
Co 0.000 0.000 0.000
```

Values from the calculation:
**Excess energy over the best structure of this formula in the dataset**: 385 meV/atom
**SG**: Pm-3m, No. 221
**VASP energy**: -7.09 eV per atom
**Total magnetization**: 0.0 μB per cell
**Density**: 6062 kg/m³

(3)
MnSbCl | GGA-PBE | relaxed

The structure in extended XYZ format:
```
12
Lattice="3.368 0.000 0.000 0.000 5.947 0.000 0.000 0.000 15.484" Properties=species:S:1:pos:R:3 pbc="T T T"
Mn 0.000 0.000 0.000
Mn 0.000 2.974 7.742
Mn 1.684 0.000 7.742
Mn 1.684 2.974 0.000
Sb 0.000 0.000 9.881
Sb 0.000 2.974 2.139
Sb 1.684 0.000 2.139
Sb 1.684 2.974 9.881
Cl 0.000 0.000 6.093
Cl 0.000 2.974 13.835
Cl 1.684 0.000 13.835
Cl 1.684 2.974 6.093
```

Values from the calculation:
**Excess energy over the best structure of this formula in the dataset**: 113 meV/atom
**SG**: Fmm2, No. 42
**VASP energy**: -5.30 eV per atom
**Total magnetization**: 14.9 μB per cell
**Energy relative to the elements, uncorrected**: -0.25 eV/atom
**Density**: 4544 kg/m³

(4)
NdSm2Er4Mg | GGA-PBE | relaxed

The structure in extended XYZ format:
```
8
Lattice="4.959 0.000 0.000 0.000 4.959 0.000 0.000 0.000 10.122" Properties=species:S:1:pos:R:3 pbc="T T T"
Nd 0.000 0.000 0.000
Sm 0.000 0.000 5.061
Sm 2.480 2.480 0.000
Er 0.000 2.480 2.568
Er 0.000 2.480 7.553
Er 2.480 0.000 2.568
Er 2.480 0.000 7.553
Mg 2.480 2.480 5.061
```

Values from the calculation:
**SG**: P4/mmm, No. 123
**VASP energy**: -4.23 eV per atom
**Total magnetization**: 0.0 μB per cell
**Density**: 7593 kg/m³

(5)
CsTa2TiB | GGA-PBE | relaxed

The structure in extended XYZ format:
```
5
Lattice="5.048 0.000 0.000 0.000 5.048 0.000 0.000 0.000 4.782" Properties=species:S:1:pos:R:3 pbc="T T T"
Cs 0.000 0.000 0.000
Ta 0.000 2.524 0.000
Ta 2.524 0.000 0.000
Ti 0.000 0.000 2.391
B 2.524 2.524 2.391
```

Values from the calculation:
**Excess energy over the best structure of this formula in the dataset**: 1725 meV/atom
**SG**: P4/mmm, No. 123
**VASP energy**: -4.16 eV per atom
**Total magnetization**: 0.0 μB per cell
**Density**: 7542 kg/m³

(6)
TbNbC2 | GGA-PBE | relaxed

The structure in extended XYZ format:
```
16
Lattice="5.767 0.000 0.000 0.000 3.525 0.000 0.000 0.000 11.149" Properties=species:S:1:pos:R:3 pbc="T T T"
Tb 0.489 0.881 1.561
Tb 2.394 2.643 7.135
Tb 3.373 0.881 4.014
Tb 5.278 2.643 9.588
Nb 0.538 2.643 4.392
Nb 2.346 0.881 9.967
Nb 3.422 2.643 1.182
Nb 5.229 0.881 6.756
C 0.861 0.881 8.384
C 1.288 0.881 5.389
C 1.596 2.643 10.964
C 2.022 2.643 2.809
C 3.745 0.881 8.340
C 4.171 0.881 0.185
C 4.479 2.643 5.760
C 4.906 2.643 2.765
```

Values from the calculation:
**Excess energy over the best structure of this formula in the dataset**: 15 meV/atom
**SG**: Pnma, No. 62
**VASP energy**: -8.65 eV per atom
**Total magnetization**: 0.0 μB per cell
**Density**: 8085 kg/m³

(7)
CoRuPt2 | GGA-PBE | relaxed

The structure in extended XYZ format:
```
12
Lattice="2.718 0.000 0.000 -1.359 2.354 0.000 0.000 0.000 26.563" Properties=species:S:1:pos:R:3 pbc="T T T"
Co 0.000 0.000 0.000
Co 0.000 1.569 17.708
Co 1.359 0.785 8.854
Ru 0.000 0.000 19.692
Ru 0.000 1.569 10.837
Ru 1.359 0.785 1.983
Pt 0.000 0.000 6.721
Pt 0.000 0.000 13.133
Pt 0.000 1.569 4.278
Pt 0.000 1.569 24.429
Pt 1.359 0.785 15.575
Pt 1.359 0.785 21.987
```

Values from the calculation:
**Excess energy over the best structure of this formula in the dataset**: 0 meV/atom
**SG**: R3m, No. 160
**VASP energy**: -7.11 eV per atom
**Total magnetization**: 5.1 μB per cell
**Density**: 16126 kg/m³

(8)
BaP2 | GGA-PBE | relaxed

The structure in extended XYZ format:
```
12
Lattice="4.616 0.000 0.000 0.000 4.616 0.000 0.000 0.000 14.577" Properties=species:S:1:pos:R:3 pbc="T T T"
Ba 0.000 1.154 5.466
Ba 0.000 3.462 9.111
Ba 2.308 1.154 1.822
Ba 2.308 3.462 12.755
P 0.000 1.154 11.649
P 0.000 1.154 13.861
P 0.000 3.462 0.716
P 0.000 3.462 2.928
P 2.308 1.154 8.005
P 2.308 1.154 10.216
P 2.308 3.462 4.361
P 2.308 3.462 6.572
```

Values from the calculation:
**SG**: I4_1/amd, No. 141
**VASP energy**: -4.90 eV per atom
**Total magnetization**: 0.0 μB per cell
**Density**: 4261 kg/m³

VASP energy of number 7 (CoRuPt2)?
-7.11 eV per atom

What did the sixth record say?
TbNbC2 | GGA-PBE | relaxed

The structure in extended XYZ format:
```
16
Lattice="5.767 0.000 0.000 0.000 3.525 0.000 0.000 0.000 11.149" Properties=species:S:1:pos:R:3 pbc="T T T"
Tb 0.489 0.881 1.561
Tb 2.394 2.643 7.135
Tb 3.373 0.881 4.014
Tb 5.278 2.643 9.588
Nb 0.538 2.643 4.392
Nb 2.346 0.881 9.967
Nb 3.422 2.643 1.182
Nb 5.229 0.881 6.756
C 0.861 0.881 8.384
C 1.288 0.881 5.389
C 1.596 2.643 10.964
C 2.022 2.643 2.809
C 3.745 0.881 8.340
C 4.171 0.881 0.185
C 4.479 2.643 5.760
C 4.906 2.643 2.765
```

Values from the calculation:
**Excess energy over the best structure of this formula in the dataset**: 15 meV/atom
**SG**: Pnma, No. 62
**VASP energy**: -8.65 eV per atom
**Total magnetization**: 0.0 μB per cell
**Density**: 8085 kg/m³